Li8Ag3Pd: optimized geometry, PBE.

E_form = -0.21 eV/atom
V = 16.28 A^3/atom

```
data_Li8Ag3Pd
_symmetry_space_group_name_H-M 'P 1'
_symmetry_Int_Tables_number 1
_cell_length_a 4.827
_cell_length_b 6.791
_cell_length_c 6.818
_cell_angle_alpha 78.51
_cell_angle_beta 69.83
_cell_angle_gamma 69.21
loop_
_symmetry_equiv_pos_as_xyz
'x,y,z'
loop_
_atom_site_label
_atom_site_type_symbol
_atom_site_fract_x
_atom_site_fract_y
_atom_site_fract_z
Li1 Li 0.000 0.000 0.000
Li2 Li 0.001 0.313 0.664
Li3 Li 0.401 0.239 0.218
Li4 Li 0.405 0.542 0.916
Li5 Li 0.438 0.902 0.556
Li6 Li 0.519 0.795 0.145
Li7 Li 0.541 0.459 0.458
Li8 Li 0.919 0.728 0.732
Ag1 Ag 0.010 0.642 0.316
Ag2 Ag 0.510 0.143 0.816
Ag3 Ag 0.931 0.059 0.401
Pd1 Pd 0.908 0.400 0.059
```